The following is a DFT calculation (PBE) of a geometry-optimized Sr2Mg12Cd3Ag structure.

Summary:
- E_form: 82 meV per atom
- DOS at the Fermi energy: 0.5271 states/eV per atom
- Crystal system: trigonal
- Magnetic moment: 0.0000 μB per atom

a b c (Å): 11.1967 11.1967 11.1967
angles (deg): 39.44 39.44 39.44
Fractional positions:
Sr  0.6480  0.6480  0.6480
Sr  0.3520  0.3520  0.3520
Mg  0.4160  0.4160  0.8101
Mg  0.3510  0.9246  0.9246
Mg  0.8101  0.4160  0.4160
Mg  0.9246  0.9246  0.3510
Mg  0.1899  0.5840  0.5840
Mg  0.0754  0.6490  0.0754
Mg  0.0754  0.0754  0.6490
Mg  0.5840  0.1899  0.5840
Mg  0.6490  0.0754  0.0754
Mg  0.9246  0.3510  0.9246
Mg  0.4160  0.8101  0.4160
Mg  0.5840  0.5840  0.1899
Ag  0.0000  0.0000  0.0000
Cd  0.5000  0.0000  0.0000
Cd  0.0000  0.5000  0.0000
Cd  0.0000  0.0000  0.5000